## Nd3Sb2Se2 (PBE-GGA)

Data for a relaxed Nd3Sb2Se2 crystal.

Unit cell a=4.4079 b=8.0180 c=8.4865 alpha=119.79 beta=105.05 gamma=90.00
Fractional coordinates of all 7 atoms:
Nd (0.7155, 0.2444, 0.4310)
Nd (0.2845, 0.7556, 0.5690)
Nd (0.0000, 0.5000, 0.0000)
Se (0.8721, 0.6664, 0.7443)
Sb (0.3570, 0.2114, 0.7140)
Se (0.1279, 0.3336, 0.2557)
Sb (0.6430, 0.7886, 0.2860)

Results
**M_tot**: 0.0 μB per formula unit
**Calculated density**: 5.6 g cm⁻³
**Relative energy among the computed polymorphs**: 83 kJ/mol of formula units
**Crystal system**: monoclinic
**Energy relative to the elements, uncorrected**: -1249.5 meV per atom
**Final energy**: -5.47 eV/atom
**DOS at the Fermi energy**: 0.439 states/eV/atom
**SG**: C2/m

## Nd2SbSe5 (PBE-GGA)

Data for a relaxed Nd2SbSe5 crystal.

Unit cell a=4.1787 b=8.1873 c=12.1339 alpha=90.00 beta=90.00 gamma=90.00
Fractional coordinates of all 16 atoms:
Se (0.5000, 0.1797, 0.0925)
Se (0.0000, 0.3247, 0.3003)
Se (0.5000, 0.3203, 0.5925)
Se (0.0000, 0.8247, 0.1997)
Se (0.5000, 0.8203, 0.9075)
Se (0.0000, 0.0000, 0.5000)
Nd (0.5000, 0.5397, 0.1742)
Sb (0.0000, 0.5000, 0.5000)
Nd (0.5000, 0.0397, 0.3258)
Se (0.5000, 0.6797, 0.4075)
Se (0.0000, 0.1753, 0.8003)
Nd (0.5000, 0.4603, 0.8258)
Se (0.0000, 0.5000, 0.0000)
Nd (0.5000, 0.9603, 0.6742)
Sb (0.0000, 0.0000, 0.0000)
Se (0.0000, 0.6753, 0.6997)

Results
**M_tot**: 0.0 μB per formula unit
**Calculated density**: 6.4 g cm⁻³
**Relative energy among the computed polymorphs**: 0 kJ/mol of formula units
**Crystal system**: orthorhombic
**Energy relative to the elements, uncorrected**: -1251.9 meV per atom
**Final energy**: -5.14 eV/atom
**DOS at the Fermi energy**: 0.335 states/eV/atom
**SG**: Pbam

## Nd4Sb2Se (PBE-GGA)

Data for a relaxed Nd4Sb2Se crystal.

Unit cell a=8.1037 b=8.1037 c=8.1037 alpha=110.21 beta=108.01 gamma=110.21
Fractional coordinates of all 14 atoms:
Nd (0.1097, 0.8800, 0.3735)
Nd (0.1235, 0.3800, 0.3597)
Nd (0.2565, 0.2362, 0.8765)
Nd (0.9797, 0.6200, 0.7435)
Sb (0.8750, 0.1341, 0.5091)
Nd (0.6265, 0.7362, 0.5065)
Nd (0.7703, 0.2638, 0.8903)
Nd (0.4935, 0.1200, 0.2297)
Sb (0.4909, 0.3659, 0.6250)
Se (0.0000, 0.0000, 0.0000)
Sb (0.3750, 0.8659, 0.7409)
Se (0.7500, 0.5000, 0.2500)
Nd (0.6403, 0.7638, 0.0203)
Sb (0.2591, 0.6341, 0.1250)

Results
**M_tot**: 0.0 μB per formula unit
**Calculated density**: 7.3 g cm⁻³
**Crystal system**: tetragonal
**Energy relative to the elements, uncorrected**: -1192.7 meV per atom
**Final energy**: -5.59 eV/atom
**DOS at the Fermi energy**: 0.942 states/eV/atom
**SG**: I-42d

## Nd4SiSbSe2 (PBE-GGA)

Data for a relaxed Nd4SiSbSe2 crystal.

Unit cell a=4.3310 b=7.4815 c=7.5404 alpha=70.58 beta=90.00 gamma=90.00
Fractional coordinates of all 8 atoms:
Nd (0.5000, 0.2568, 0.7375)
Se (0.5000, 0.0000, 0.5000)
Nd (0.0000, 0.2505, 0.2622)
Nd (0.0000, 0.7495, 0.7378)
Nd (0.5000, 0.7432, 0.2625)
Se (0.0000, 0.0000, 0.0000)
Si (0.0000, 0.5000, 0.5000)
Sb (0.5000, 0.5000, 0.0000)

Results
**M_tot**: 0.0 μB per formula unit
**Calculated density**: 6.4 g cm⁻³
**Crystal system**: monoclinic
**Energy relative to the elements, uncorrected**: -1420.7 meV per atom
**Final energy**: -5.87 eV/atom
**DOS at the Fermi energy**: 0.202 states/eV/atom
**SG**: P2/m

## NdSmSbSe (PBE-GGA)

Data for a relaxed NdSmSbSe crystal.

Unit cell a=4.3719 b=4.3711 c=6.1609 alpha=89.98 beta=90.00 gamma=90.00
Fractional coordinates of all 4 atoms:
Se (0.5000, 0.3916, 0.5926)
Sb (0.0000, 0.8914, 0.0922)
Nd (0.5000, 0.3914, 0.0928)
Sm (0.0000, 0.8917, 0.5922)

Results
**M_tot**: 0.0 μB per formula unit
**Calculated density**: 7.0 g cm⁻³
**Crystal system**: tetragonal
**Energy relative to the elements, uncorrected**: -1491.9 meV per atom
**Final energy**: -5.77 eV/atom
**DOS at the Fermi energy**: 0.332 states/eV/atom
**SG**: P4/mmm

## Nd4SnSb2Se (PBE-GGA)

Data for a relaxed Nd4SnSb2Se crystal.

Unit cell a=4.4473 b=7.7321 c=7.7412 alpha=70.66 beta=90.00 gamma=90.00
Fractional coordinates of all 8 atoms:
Sn (0.5000, 0.5000, 0.0000)
Se (0.0000, 0.5000, 0.5000)
Nd (0.5000, 0.2550, 0.7470)
Nd (0.5000, 0.7450, 0.2530)
Nd (0.0000, 0.7467, 0.7467)
Sb (0.0000, 0.0000, 0.0000)
Sb (0.5000, 0.0000, 0.5000)
Nd (0.0000, 0.2533, 0.2533)

Results
**M_tot**: 0.0 μB per formula unit
**Calculated density**: 6.7 g cm⁻³
**Crystal system**: monoclinic
**Energy relative to the elements, uncorrected**: -1237.3 meV per atom
**Final energy**: -5.59 eV/atom
**DOS at the Fermi energy**: 0.177 states/eV/atom
**SG**: P2/m

## Nd6Sn2SbSe3 (PBE-GGA)

Data for a relaxed Nd6Sn2SbSe3 crystal.

Unit cell a=4.4023 b=8.7841 c=9.8148 alpha=102.64 beta=102.96 gamma=90.00
Fractional coordinates of all 12 atoms:
Nd (0.3312, 0.9192, 0.6623)
Nd (0.3353, 0.4124, 0.6706)
Sn (0.8331, 0.6664, 0.6661)
Se (0.5000, 0.5000, 0.0000)
Nd (0.6647, 0.5876, 0.3294)
Nd (0.6688, 0.0808, 0.3377)
Se (0.8343, 0.1663, 0.6686)
Nd (0.0004, 0.7446, 0.0009)
Sb (0.5000, 0.0000, 0.0000)
Se (0.1657, 0.8337, 0.3314)
Sn (0.1669, 0.3336, 0.3339)
Nd (0.9996, 0.2554, 0.9991)

Results
**M_tot**: 0.0 μB per formula unit
**Calculated density**: 6.7 g cm⁻³
**Crystal system**: monoclinic
**Energy relative to the elements, uncorrected**: -1367.6 meV per atom
**Final energy**: -5.63 eV/atom
**DOS at the Fermi energy**: 0.224 states/eV/atom
**SG**: C2/m

## TbNdSbSe (PBE-GGA)

Data for a relaxed TbNdSbSe crystal.

Unit cell a=4.3480 b=4.3478 c=6.0912 alpha=90.00 beta=90.00 gamma=90.00
Fractional coordinates of all 4 atoms:
Se (0.5000, 0.3916, 0.5925)
Tb (0.0000, 0.8915, 0.5924)
Nd (0.5000, 0.3915, 0.0925)
Sb (0.0000, 0.8915, 0.0924)

Results
**M_tot**: 0.0 μB per formula unit
**Calculated density**: 7.3 g cm⁻³
**Crystal system**: tetragonal
**Energy relative to the elements, uncorrected**: -1453.9 meV per atom
**Final energy**: -5.71 eV/atom
**DOS at the Fermi energy**: 0.339 states/eV/atom
**SG**: P4/mmm